Model one:
VASP calculation (PBE-GGA) on a relaxed LaNiN2 crystal.

```
data_LaNiN2
_cell_length_a 4.814
_cell_length_b 4.814
_cell_length_c 10.110
_cell_angle_alpha 90.00
_cell_angle_beta 90.00
_cell_angle_gamma 90.00
_space_group_name_H-M_alt 'I -4 2 d'
_space_group_IT_number 122
_space_group_name_Hall 'I -4 2bw'
loop_
_atom_site_label
_atom_site_fract_x
_atom_site_fract_y
_atom_site_fract_z
_atom_site_occupancy
La1 0.000 0.000 0.000 1
Ni1 0.000 0.000 0.500 1
N1 0.155 0.250 0.625 1
```

=====

Model two:
VASP calculation (PBE-GGA) on a relaxed LaNiN2 crystal.

```
data_LaNiN2
_cell_length_a 5.901
_cell_length_b 5.901
_cell_length_c 5.901
_cell_angle_alpha 90.00
_cell_angle_beta 90.00
_cell_angle_gamma 90.00
_space_group_name_H-M_alt 'F m -3 m'
_space_group_IT_number 225
_space_group_name_Hall '-F 4 2 3'
loop_
_atom_site_label
_atom_site_fract_x
_atom_site_fract_y
_atom_site_fract_z
_atom_site_occupancy
La1 0.000 0.000 0.000 1
Ni1 0.000 0.000 0.500 1
N1 0.250 0.250 0.250 1
```

=====

Model three:
VASP calculation (PBE-GGA) on a relaxed LaNiN2 crystal.

```
data_LaNiN2
_cell_length_a 3.9969
_cell_length_b 3.9969
_cell_length_c 16.0621
_cell_angle_alpha 90.00
_cell_angle_beta 90.00
_cell_angle_gamma 120.00
_space_group_name_H-M_alt 'R -3 m'
_space_group_IT_number 166
_space_group_name_Hall '-R 3 2"'
loop_
_atom_site_label
_atom_site_fract_x
_atom_site_fract_y
_atom_site_fract_z
_atom_site_occupancy
La1 0.0000 0.0000 0.0000 1
Ni1 0.0000 0.0000 0.5000 1
N1 0.0000 0.0000 0.3946 1
```

=====

Name the most stable of them. model three.

=====

Model one:
VASP calculation (PBE-GGA) on a relaxed La2NiRuN crystal.

```
data_La2NiRuN
_cell_length_a 5.197
_cell_length_b 5.197
_cell_length_c 3.579
_cell_angle_alpha 90.00
_cell_angle_beta 90.00
_cell_angle_gamma 90.00
_space_group_name_H-M_alt 'P 4/m m m'
_space_group_IT_number 123
_space_group_name_Hall '-P 4 2'
loop_
_atom_site_label
_atom_site_fract_x
_atom_site_fract_y
_atom_site_fract_z
_atom_site_occupancy
La1 0.000 0.500 0.000 1
Ni1 0.000 0.000 0.500 1
Ru1 0.500 0.500 0.500 1
N1 0.000 0.000 0.000 1
```

=====

Model two:
VASP calculation (PBE-GGA) on a relaxed La2NiRuN crystal.

```
data_La2NiRuN
_cell_length_a 5.193
_cell_length_b 5.193
_cell_length_c 3.812
_cell_angle_alpha 90.00
_cell_angle_beta 90.00
_cell_angle_gamma 90.00
_space_group_name_H-M_alt 'P 4/m m m'
_space_group_IT_number 123
_space_group_name_Hall '-P 4 2'
loop_
_atom_site_label
_atom_site_fract_x
_atom_site_fract_y
_atom_site_fract_z
_atom_site_occupancy
La1 0.000 0.500 0.000 1
Ni1 0.000 0.000 0.500 1
Ru1 0.500 0.500 0.500 1
N1 0.500 0.500 0.000 1
```

=====

Name the most stable of them. model two.

=====

Model one:
VASP calculation (PBE-GGA) on a relaxed LaNiSN2 crystal.

```
data_LaNiSN2
_cell_length_a 3.979
_cell_length_b 3.979
_cell_length_c 4.468
_cell_angle_alpha 90.00
_cell_angle_beta 90.00
_cell_angle_gamma 90.00
_space_group_name_H-M_alt 'P 4/m m m'
_space_group_IT_number 123
_space_group_name_Hall '-P 4 2'
loop_
_atom_site_label
_atom_site_fract_x
_atom_site_fract_y
_atom_site_fract_z
_atom_site_occupancy
La1 0.000 0.000 0.000 1
Ni1 0.500 0.500 0.500 1
S1 0.500 0.500 0.000 1
N1 0.000 0.500 0.500 1
```

=====

Model two:
VASP calculation (PBE-GGA) on a relaxed LaNiSN2 crystal.

```
data_LaNiSN2
_cell_length_a 4.052
_cell_length_b 4.052
_cell_length_c 6.106
_cell_angle_alpha 90.00
_cell_angle_beta 90.00
_cell_angle_gamma 90.00
_space_group_name_H-M_alt 'P 4/m m m'
_space_group_IT_number 123
_space_group_name_Hall '-P 4 2'
loop_
_atom_site_label
_atom_site_fract_x
_atom_site_fract_y
_atom_site_fract_z
_atom_site_occupancy
La1 0.000 0.000 0.000 1
Ni1 0.500 0.500 0.500 1
S1 0.000 0.000 0.500 1
N1 0.000 0.500 0.000 1
```

=====

Name the most stable of them. model one.

=====

Model one:
VASP calculation (PBE-GGA) on a relaxed LaNiSe2N crystal.

```
data_LaNiSe2N
_cell_length_a 4.999
_cell_length_b 4.999
_cell_length_c 3.724
_cell_angle_alpha 90.00
_cell_angle_beta 90.00
_cell_angle_gamma 90.00
_space_group_name_H-M_alt 'P 4/m m m'
_space_group_IT_number 123
_space_group_name_Hall '-P 4 2'
loop_
_atom_site_label
_atom_site_fract_x
_atom_site_fract_y
_atom_site_fract_z
_atom_site_occupancy
La1 0.000 0.000 0.000 1
Ni1 0.500 0.500 0.500 1
Se1 0.000 0.500 0.500 1
N1 0.500 0.500 0.000 1
```

=====

Model two:
VASP calculation (PBE-GGA) on a relaxed LaNiSe2N crystal.

```
data_LaNiSe2N
_cell_length_a 5.844
_cell_length_b 5.844
_cell_length_c 4.233
_cell_angle_alpha 90.00
_cell_angle_beta 90.00
_cell_angle_gamma 90.00
_space_group_name_H-M_alt 'P 4/m m m'
_space_group_IT_number 123
_space_group_name_Hall '-P 4 2'
loop_
_atom_site_label
_atom_site_fract_x
_atom_site_fract_y
_atom_site_fract_z
_atom_site_occupancy
La1 0.000 0.000 0.000 1
Ni1 0.500 0.500 0.500 1
Se1 0.000 0.500 0.000 1
N1 0.000 0.000 0.500 1
```

=====

Name the most stable of them. model one.

=====

Model one:
VASP calculation (PBE-GGA) on a relaxed La2NiSnN crystal.

```
data_La2NiSnN
_cell_length_a 6.938
_cell_length_b 3.881
_cell_length_c 9.018
_cell_angle_alpha 90.00
_cell_angle_beta 108.87
_cell_angle_gamma 90.00
_space_group_name_H-M_alt 'P 1 21/m 1'
_space_group_IT_number 11
loop_
_space_group_symop_operation_xyz
'x,y,z'
'-x,-y,-z'
'-x,y+1/2,-z'
'x,-y+1/2,z'
loop_
_atom_site_label
_atom_site_fract_x
_atom_site_fract_y
_atom_site_fract_z
_atom_site_occupancy
La1 0.211 0.250 0.366 1
La2 0.213 0.250 0.973 1
Ni1 0.438 0.750 0.233 1
Sn1 0.301 0.750 0.689 1
N1 0.149 0.750 0.157 1
```

=====

Model two:
VASP calculation (PBE-GGA) on a relaxed La2NiSnN crystal.

```
data_La2NiSnN
_cell_length_a 5.438
_cell_length_b 5.438
_cell_length_c 3.731
_cell_angle_alpha 90.00
_cell_angle_beta 90.00
_cell_angle_gamma 90.00
_space_group_name_H-M_alt 'P 4/m m m'
_space_group_IT_number 123
_space_group_name_Hall '-P 4 2'
loop_
_atom_site_label
_atom_site_fract_x
_atom_site_fract_y
_atom_site_fract_z
_atom_site_occupancy
La1 0.000 0.500 0.000 1
Ni1 0.000 0.000 0.500 1
Sn1 0.500 0.500 0.500 1
N1 0.000 0.000 0.000 1
```

=====

Name the most stable of them. model one.

=====

Model one:
VASP calculation (PBE-GGA) on a relaxed LaNi2WN crystal.

```
data_LaNi2WN
_cell_length_a 4.528
_cell_length_b 4.528
_cell_length_c 5.079
_cell_angle_alpha 90.00
_cell_angle_beta 90.00
_cell_angle_gamma 90.00
_space_group_name_H-M_alt 'P 4/m m m'
_space_group_IT_number 123
_space_group_name_Hall '-P 4 2'
loop_
_atom_site_label
_atom_site_fract_x
_atom_site_fract_y
_atom_site_fract_z
_atom_site_occupancy
La1 0.000 0.000 0.000 1
Ni1 0.000 0.500 0.000 1
W1 0.000 0.000 0.500 1
N1 0.500 0.500 0.500 1
```

=====

Model two:
VASP calculation (PBE-GGA) on a relaxed LaNi2WN crystal.

```
data_LaNi2WN
_cell_length_a 4.272
_cell_length_b 4.272
_cell_length_c 4.075
_cell_angle_alpha 90.00
_cell_angle_beta 90.00
_cell_angle_gamma 90.00
_space_group_name_H-M_alt 'P 4/m m m'
_space_group_IT_number 123
_space_group_name_Hall '-P 4 2'
loop_
_atom_site_label
_atom_site_fract_x
_atom_site_fract_y
_atom_site_fract_z
_atom_site_occupancy
La1 0.000 0.000 0.000 1
Ni1 0.000 0.500 0.500 1
W1 0.500 0.500 0.000 1
N1 0.500 0.500 0.500 1
```

=====

Name the most stable of them. model two.

=====

Model one:
VASP calculation (PBE-GGA) on a relaxed La2ZnNiN crystal.

```
data_La2ZnNiN
_cell_length_a 5.240
_cell_length_b 5.240
_cell_length_c 3.722
_cell_angle_alpha 90.00
_cell_angle_beta 90.00
_cell_angle_gamma 90.00
_space_group_name_H-M_alt 'P 4/m m m'
_space_group_IT_number 123
_space_group_name_Hall '-P 4 2'
loop_
_atom_site_label
_atom_site_fract_x
_atom_site_fract_y
_atom_site_fract_z
_atom_site_occupancy
La1 0.000 0.500 0.000 1
Zn1 0.000 0.000 0.500 1
Ni1 0.500 0.500 0.500 1
N1 0.500 0.500 0.000 1
```

=====

Model two:
VASP calculation (PBE-GGA) on a relaxed La2ZnNiN crystal.

```
data_La2ZnNiN
_cell_length_a 5.158
_cell_length_b 5.158
_cell_length_c 4.383
_cell_angle_alpha 90.00
_cell_angle_beta 90.00
_cell_angle_gamma 90.00
_space_group_name_H-M_alt 'P 4/m m m'
_space_group_IT_number 123
_space_group_name_Hall '-P 4 2'
loop_
_atom_site_label
_atom_site_fract_x
_atom_site_fract_y
_atom_site_fract_z
_atom_site_occupancy
La1 0.000 0.500 0.000 1
Zn1 0.000 0.000 0.500 1
Ni1 0.000 0.000 0.000 1
N1 0.500 0.500 0.500 1
```

=====

Model three:
VASP calculation (PBE-GGA) on a relaxed La2ZnNiN crystal.

```
data_La2ZnNiN
_cell_length_a 6.929
_cell_length_b 3.942
_cell_length_c 8.236
_cell_angle_alpha 90.00
_cell_angle_beta 109.98
_cell_angle_gamma 90.00
_space_group_name_H-M_alt 'P 1 21/m 1'
_space_group_IT_number 11
loop_
_space_group_symop_operation_xyz
'x,y,z'
'-x,-y,-z'
'-x,y+1/2,-z'
'x,-y+1/2,z'
loop_
_atom_site_label
_atom_site_fract_x
_atom_site_fract_y
_atom_site_fract_z
_atom_site_occupancy
La1 0.207 0.250 0.466 1
La2 0.213 0.250 0.891 1
Zn1 0.330 0.750 0.213 1
Ni1 0.455 0.750 0.747 1
N1 0.161 0.750 0.676 1
```

=====

Name the most stable of them. model three.

=====

Model one:
VASP calculation (PBE-GGA) on a relaxed La2NpN3 crystal.

```
data_La2NpN3
_cell_length_a 6.360
_cell_length_b 10.887
_cell_length_c 6.234
_cell_angle_alpha 90.00
_cell_angle_beta 109.49
_cell_angle_gamma 90.00
_space_group_name_H-M_alt 'C 1 2/c 1'
_space_group_IT_number 15
loop_
_space_group_symop_operation_xyz
'x,y,z'
'-x,-y,-z'
'-x,y,-z+1/2'
'x,-y,z+1/2'
'x+1/2,y+1/2,z'
'-x+1/2,-y+1/2,-z'
'-x+1/2,y+1/2,-z+1/2'
'x+1/2,-y+1/2,z+1/2'
loop_
_atom_site_label
_atom_site_fract_x
_atom_site_fract_y
_atom_site_fract_z
_atom_site_occupancy
La1 0.000 0.084 0.250 1
La2 0.000 0.249 0.750 1
Np1 0.000 0.418 0.250 1
N1 0.206 0.430 0.000 1
N2 0.250 0.250 0.500 1
```

=====

Model two:
VASP calculation (PBE-GGA) on a relaxed La2NpN3 crystal.

```
data_La2NpN3
_cell_length_a 10.347
_cell_length_b 6.628
_cell_length_c 6.335
_cell_angle_alpha 90.00
_cell_angle_beta 90.12
_cell_angle_gamma 90.00
_space_group_name_H-M_alt 'C 1 2/c 1'
_space_group_IT_number 15
loop_
_space_group_symop_operation_xyz
'x,y,z'
'-x,-y,-z'
'-x,y,-z+1/2'
'x,-y,z+1/2'
'x+1/2,y+1/2,z'
'-x+1/2,-y+1/2,-z'
'-x+1/2,y+1/2,-z+1/2'
'x+1/2,-y+1/2,z+1/2'
loop_
_atom_site_label
_atom_site_fract_x
_atom_site_fract_y
_atom_site_fract_z
_atom_site_occupancy
La1 0.172 0.162 0.250 1
Np1 0.000 0.394 0.750 1
N1 0.000 0.081 0.750 1
N2 0.158 0.500 0.000 1
```

=====

Name the most stable of them. model one.

=====

Model one:
VASP calculation (PBE-GGA) on a relaxed La3NpN4 crystal.

```
data_La3NpN4
_cell_length_a 7.334
_cell_length_b 10.304
_cell_length_c 3.638
_cell_angle_alpha 90.00
_cell_angle_beta 90.00
_cell_angle_gamma 90.00
_space_group_name_H-M_alt 'C m m m'
_space_group_IT_number 65
_space_group_name_Hall '-C 2 2'
loop_
_atom_site_label
_atom_site_fract_x
_atom_site_fract_y
_atom_site_fract_z
_atom_site_occupancy
La1 0.000 0.000 0.000 1
La2 0.250 0.250 0.500 1
Np1 0.000 0.500 0.000 1
N1 0.000 0.284 0.000 1
N2 0.222 0.500 0.500 1
```

=====

Model two:
VASP calculation (PBE-GGA) on a relaxed La3NpN4 crystal.

```
data_La3NpN4
_cell_length_a 6.350
_cell_length_b 7.318
_cell_length_c 6.285
_cell_angle_alpha 90.00
_cell_angle_beta 109.48
_cell_angle_gamma 90.00
_space_group_name_H-M_alt 'P 1 2/c 1'
_space_group_IT_number 13
loop_
_space_group_symop_operation_xyz
'x,y,z'
'-x,-y,-z'
'-x,y,-z+1/2'
'x,-y,z+1/2'
loop_
_atom_site_label
_atom_site_fract_x
_atom_site_fract_y
_atom_site_fract_z
_atom_site_occupancy
La1 0.000 0.124 0.250 1
La2 0.000 0.373 0.750 1
La3 0.500 0.374 0.250 1
Np1 0.500 0.122 0.750 1
N1 0.275 0.343 0.535 1
N2 0.284 0.108 0.996 1
```

=====

Name the most stable of them. model two.

=====

Model one:
VASP calculation (PBE-GGA) on a relaxed La2NO crystal.

```
data_La2NO
_cell_length_a 3.6157
_cell_length_b 3.6157
_cell_length_c 6.2529
_cell_angle_alpha 90.00
_cell_angle_beta 90.00
_cell_angle_gamma 120.00
_space_group_name_H-M_alt 'P -3 m 1'
_space_group_IT_number 164
_space_group_name_Hall '-P 3 2"'
loop_
_atom_site_label
_atom_site_fract_x
_atom_site_fract_y
_atom_site_fract_z
_atom_site_occupancy
La1 0.3333 0.6667 0.2428 1
N1 0.0000 0.0000 0.0000 1
O1 0.0000 0.0000 0.5000 1
```

=====

Model two:
VASP calculation (PBE-GGA) on a relaxed La2NO crystal.

```
data_La2NO
_cell_length_a 5.633
_cell_length_b 5.633
_cell_length_c 11.303
_cell_angle_alpha 90.00
_cell_angle_beta 90.00
_cell_angle_gamma 90.00
_space_group_name_H-M_alt 'I -4 2 d'
_space_group_IT_number 122
_space_group_name_Hall 'I -4 2bw'
loop_
_atom_site_label
_atom_site_fract_x
_atom_site_fract_y
_atom_site_fract_z
_atom_site_occupancy
La1 0.246 0.250 0.125 1
N1 0.000 0.000 0.000 1
O1 0.000 0.000 0.500 1
```

=====

Model three:
VASP calculation (PBE-GGA) on a relaxed La2NO crystal.

```
data_La2NO
_cell_length_a 3.6911
_cell_length_b 3.6911
_cell_length_c 18.1789
_cell_angle_alpha 90.00
_cell_angle_beta 90.00
_cell_angle_gamma 120.00
_space_group_name_H-M_alt 'R -3 m'
_space_group_IT_number 166
_space_group_name_Hall '-R 3 2"'
loop_
_atom_site_label
_atom_site_fract_x
_atom_site_fract_y
_atom_site_fract_z
_atom_site_occupancy
La1 0.0000 0.0000 0.2479 1
N1 0.0000 0.0000 0.5000 1
O1 0.0000 0.0000 0.0000 1
```

=====

Name the most stable of them. model three.

=====

Model one:
VASP calculation (PBE-GGA) on a relaxed La4N3O crystal.

```
data_La4N3O
_cell_length_a 7.454
_cell_length_b 10.515
_cell_length_c 3.726
_cell_angle_alpha 90.00
_cell_angle_beta 90.00
_cell_angle_gamma 90.00
_space_group_name_H-M_alt 'C m m m'
_space_group_IT_number 65
_space_group_name_Hall '-C 2 2'
loop_
_atom_site_label
_atom_site_fract_x
_atom_site_fract_y
_atom_site_fract_z
_atom_site_occupancy
La1 0.000 0.249 0.000 1
La2 0.246 0.000 0.500 1
N1 0.000 0.000 0.000 1
N2 0.250 0.250 0.500 1
O1 0.000 0.500 0.000 1
```

=====

Model two:
VASP calculation (PBE-GGA) on a relaxed La4N3O crystal.

```
data_La4N3O
_cell_length_a 5.267
_cell_length_b 5.267
_cell_length_c 5.267
_cell_angle_alpha 90.00
_cell_angle_beta 90.00
_cell_angle_gamma 90.00
_space_group_name_H-M_alt 'P m -3 m'
_space_group_IT_number 221
_space_group_name_Hall '-P 4 2 3'
loop_
_atom_site_label
_atom_site_fract_x
_atom_site_fract_y
_atom_site_fract_z
_atom_site_occupancy
La1 0.000 0.000 0.000 1
La2 0.000 0.500 0.500 1
N1 0.000 0.000 0.500 1
O1 0.500 0.500 0.500 1
```

=====

Name the most stable of them. model one.